## DyMg2Sc2 (PBE)

Data for crystalline DyMg2Sc2 at its relaxed geometry.

- Offset from the most stable computed form: 272 meV/atom
- VASP energy: -38.5 eV for the cell shown
- Crystal system: tetragonal
- Energy of formation: 115 kJ/mol of formula units

a = 15.8602 Å, b = 15.8602 Å, c = 15.8602 Å
α = 165.00°, β = 165.00°, γ = 21.28°
Last column: nearest neighbours and their distance in Å.
Positions (direct):
Dy1 0.1194 0.1194 0.0000  4 Sc 3.26, 4 Mg 3.38
Dy2 0.8806 0.8806 0.0000  4 Sc 3.26, 4 Mg 3.38
Mg1 0.0000 0.5000 0.5000  4 Mg 2.93, 4 Sc 3.09
Mg2 0.3267 0.3267 0.0000  5 Sc 3.11-3.16, 4 Dy 3.38
Mg3 0.5000 0.0000 0.5000  4 Mg 2.93, 4 Sc 3.09
Mg4 0.6733 0.6733 0.0000  5 Sc 3.11-3.16, 4 Dy 3.38
Sc1 0.2500 0.7500 0.5000  4 Sc 2.93, 4 Mg 3.16
Sc2 0.4265 0.4265 0.0000  5 Mg 3.09-3.11, 4 Dy 3.26
Sc3 0.5735 0.5735 0.0000  5 Mg 3.09-3.11, 4 Dy 3.26
Sc4 0.7500 0.2500 0.5000  4 Sc 2.93, 4 Mg 3.16

## Dy3MgSc (PBE)

Data for crystalline Dy3MgSc at its relaxed geometry.

- Offset from the most stable computed form: 0 meV/atom
- VASP energy: -86.5 eV for the cell shown
- Crystal system: triclinic
- Energy of formation: 9 kJ/mol of formula units

a = 6.4292 Å, b = 9.4049 Å, c = 9.9747 Å
α = 80.35°, β = 80.33°, γ = 74.45°
Last column: nearest neighbours and their distance in Å.
Positions (direct):
Dy1 0.0840 0.1504 0.0244  3 Mg 3.35-3.38, 3 Sc 3.38-3.60, 7 Dy 3.42-3.72
Dy2 0.1180 0.2124 0.3720  1 Mg 3.17, 3 Sc 3.22-3.31, 4 Dy 3.39-3.50
Dy3 0.2077 0.4640 0.0968  1 Mg 3.16, 2 Sc 3.33-3.35, 4 Dy 3.39-3.47
Dy4 0.2536 0.5432 0.4287  2 Mg 3.19-3.26, 1 Sc 3.37, 4 Dy 3.42-3.53
Dy5 0.3938 0.7639 0.1283  3 Mg 3.16-3.39, 1 Sc 3.29, 3 Dy 3.42-3.50
Dy6 0.4129 0.8496 0.4719  2 Mg 3.28-3.41, 3 Sc 3.40-3.48, 5 Dy 3.42-3.66
Dy7 0.5871 0.1504 0.5281  2 Mg 3.28-3.41, 3 Sc 3.40-3.48, 5 Dy 3.42-3.66
Dy8 0.6062 0.2361 0.8717  3 Mg 3.16-3.39, 1 Sc 3.29, 3 Dy 3.42-3.50
Dy9 0.7464 0.4568 0.5713  2 Mg 3.19-3.26, 1 Sc 3.37, 4 Dy 3.42-3.53
Dy10 0.7923 0.5360 0.9032  1 Mg 3.16, 2 Sc 3.33-3.35, 4 Dy 3.39-3.47
Dy11 0.8820 0.7876 0.6280  1 Mg 3.17, 3 Sc 3.22-3.31, 4 Dy 3.39-3.50
Dy12 0.9160 0.8496 0.9756  3 Mg 3.35-3.38, 3 Sc 3.38-3.60, 7 Dy 3.42-3.72
Mg1 0.1868 0.3499 0.7202  2 Sc 3.06-3.15, 6 Dy 3.16-3.35
Mg2 0.4606 0.9300 0.8222  2 Sc 3.01-3.29, 3 Dy 3.17-3.36
Mg3 0.5394 0.0700 0.1778  2 Sc 3.01-3.29, 3 Dy 3.17-3.36
Mg4 0.8132 0.6501 0.2798  2 Sc 3.06-3.15, 6 Dy 3.16-3.35
Sc1 0.0538 0.0699 0.6885  2 Mg 3.01-3.06, 3 Dy 3.22-3.31
Sc2 0.3172 0.6316 0.7785  2 Mg 3.15-3.29, 6 Dy 3.27-3.45
Sc3 0.6828 0.3684 0.2215  2 Mg 3.15-3.29, 6 Dy 3.27-3.45
Sc4 0.9462 0.9301 0.3115  2 Mg 3.01-3.06, 3 Dy 3.22-3.31

## DyMg2Sc4 (PBE)

Data for crystalline DyMg2Sc4 at its relaxed geometry.

- Offset from the most stable computed form: 719 meV/atom
- VASP energy: -27.8 eV for the cell shown
- Crystal system: tetragonal
- Energy of formation: 509 kJ/mol of formula units

a = 8.5426 Å, b = 8.5426 Å, c = 8.5426 Å
α = 144.79°, β = 144.79°, γ = 50.64°
Last column: nearest neighbours and their distance in Å.
Positions (direct):
Dy1 0.0000 0.0000 0.0000  6 Sc 2.58-2.84
Mg1 0.3844 0.3844 0.0000  5 Sc 3.09-3.14
Mg2 0.6156 0.6156 0.0000  5 Sc 3.09-3.14
Sc1 0.0000 0.5000 0.5000  2 Dy 2.58
Sc2 0.1841 0.1841 0.0000  1 Dy 2.84, 1 Mg 3.09
Sc3 0.5000 0.0000 0.5000  2 Dy 2.58
Sc4 0.8159 0.8159 0.0000  1 Dy 2.84, 1 Mg 3.09

## DyMg9Sc2 (PBE)

Data for crystalline DyMg9Sc2 at its relaxed geometry.

- VASP energy: -32.2 eV for the cell shown
- Crystal system: tetragonal
- Energy of formation: -55 kJ/mol of formula units

a = 4.5789 Å, b = 4.5789 Å, c = 13.5930 Å
α = 90.00°, β = 90.00°, γ = 90.00°
Last column: nearest neighbours and their distance in Å.
Positions (direct):
Dy1 0.0000 0.0000 0.0000  12 Mg 3.24-3.29
Mg1 0.0000 0.5000 0.1733  2 Sc 3.20, 8 Mg 3.20-3.29, 2 Dy 3.29
Mg2 0.0000 0.5000 0.5000  8 Mg 3.18-3.24, 4 Sc 3.18
Mg3 0.0000 0.5000 0.8267  2 Sc 3.20, 8 Mg 3.20-3.29, 2 Dy 3.29
Mg4 0.5000 0.0000 0.1733  2 Sc 3.20, 8 Mg 3.20-3.29, 2 Dy 3.29
Mg5 0.5000 0.0000 0.5000  8 Mg 3.18-3.24, 4 Sc 3.18
Mg6 0.5000 0.0000 0.8267  2 Sc 3.20, 8 Mg 3.20-3.29, 2 Dy 3.29
Mg7 0.5000 0.5000 0.0000  4 Dy 3.24, 8 Mg 3.29
Mg8 0.5000 0.5000 0.3374  8 Mg 3.18-3.20, 4 Sc 3.24
Mg9 0.5000 0.5000 0.6626  8 Mg 3.18-3.20, 4 Sc 3.24
Sc1 0.0000 0.0000 0.3373  12 Mg 3.18-3.24
Sc2 0.0000 0.0000 0.6627  12 Mg 3.18-3.24

## Dy2MgSc (PBE)

Data for crystalline Dy2MgSc at its relaxed geometry.

- Offset from the most stable computed form: 36 meV/atom
- VASP energy: -17.0 eV for the cell shown
- Crystal system: tetragonal
- Energy of formation: 9 kJ/mol of formula units

a = 5.4001 Å, b = 5.4001 Å, c = 3.7656 Å
α = 90.00°, β = 90.00°, γ = 90.00°
Last column: nearest neighbours and their distance in Å.
Positions (direct):
Dy1 0.0000 0.5000 0.0000  4 Mg 3.29, 4 Sc 3.29
Dy2 0.5000 0.0000 0.0000  4 Mg 3.29, 4 Sc 3.29
Mg1 0.0000 0.0000 0.5000  8 Dy 3.29
Sc1 0.5000 0.5000 0.5000  8 Dy 3.29

## Dy2MgSc6 (PBE)

Data for crystalline Dy2MgSc6 at its relaxed geometry.

- Offset from the most stable computed form: 291 meV/atom
- VASP energy: -45.5 eV for the cell shown
- Crystal system: orthorhombic
- Energy of formation: 313 kJ/mol of formula units

a = 8.8083 Å, b = 8.8083 Å, c = 8.8083 Å
α = 144.46°, β = 140.47°, γ = 54.19°
Last column: nearest neighbours and their distance in Å.
Positions (direct):
Dy1 0.1065 0.1065 0.0000  1 Dy 3.34, 10 Sc 3.40-3.48, 2 Mg 3.42
Dy2 0.8935 0.8935 0.0000  1 Dy 3.34, 10 Sc 3.40-3.48, 2 Mg 3.42
Mg1 0.5000 0.0000 0.5000  4 Sc 3.09, 4 Dy 3.42
Sc1 0.0538 0.3017 0.7521  5 Sc 2.95-3.14
Sc2 0.2433 0.5000 0.7433  4 Sc 2.90-3.11, 2 Mg 3.09
Sc3 0.4505 0.6983 0.7521  5 Sc 2.95-3.14
Sc4 0.5495 0.3017 0.2479  5 Sc 2.95-3.14
Sc5 0.7567 0.5000 0.2567  4 Sc 2.90-3.11, 2 Mg 3.09
Sc6 0.9462 0.6983 0.2479  5 Sc 2.95-3.14